Here is a geometry-optimized Tm4PaSb5 structure from the Alexandria database. Energies are from GGA-PBE.

abc: 4.3370 7.5274 9.7063
angles: 75.23 77.09 73.26
Last column: nearest neighbours and their distance in Å.
Positions (direct):
1 Tm 0.5991 0.2036 0.5982  6 Sb 3.05-3.08
2 Tm 0.1994 0.3973 0.2040  6 Sb 3.04-3.09
3 Tm 0.8006 0.6027 0.7960  6 Sb 3.04-3.09
4 Tm 0.4009 0.7964 0.4018  6 Sb 3.05-3.08
5 Pa 0.0000 0.0000 0.0000  6 Sb 3.08-3.10
6 Sb 0.1998 0.9024 0.6980  5 Tm 3.05-3.08, 1 Pa 3.08
7 Sb 0.8002 0.0976 0.3020  5 Tm 3.05-3.08, 1 Pa 3.08
8 Sb 0.3979 0.3049 0.8994  4 Tm 3.07-3.09, 2 Pa 3.10
9 Sb 0.0000 0.5000 0.5000  6 Tm 3.04-3.05
10 Sb 0.6021 0.6951 0.1006  4 Tm 3.07-3.09, 2 Pa 3.10

Total moment   0.90 μB/f.u.
V   289.5 Å³ per cell
Energy relative to the elements, uncorrected   -0.9375 eV/atom